An optimized crystal structure of LiZn2, computed with PBE.

abc: 9.4106 9.4106 9.4106
angles: 90.00 90.00 90.00
With the nearest neighbours (Å) after each atom.
Space group Fd-3m (No. 227, origin choice 2)
Asymmetric unit:
Li 0.0000 0.0000 0.0000 x16  6 Zn 2.62
Zn 0.0264 0.0264 0.7236 x32  3 Li 2.62, 3 Zn 2.63

Calculated values
Raw total energy ... -66.6 eV/cell
Calculated formation energy ... 0.0994 eV/atom

An optimized crystal structure of LiZn, computed with PBE.

abc: 5.1731 5.1731 5.1863
angles: 90.00 90.00 90.00
With the nearest neighbours (Å) after each atom.
Space group P4_2/mnm (No. 136)
Asymmetric unit:
Li 0.1839 0.1839 0.0000 x4  6 Zn 2.59-2.71, 1 Li 2.69
Zn 0.1791 0.1791 0.5000 x4  6 Li 2.59-2.71, 1 Zn 2.62

Calculated values
Raw total energy ... -12.3 eV/cell
Calculated formation energy ... 0.0586 eV/atom

An optimized crystal structure of Li4Zn5, computed with PBE.

abc: 8.3475 8.3475 3.9093
angles: 90.00 90.00 90.00
With the nearest neighbours (Å) after each atom.
Space group I4/mmm (No. 139)
Asymmetric unit:
Li 0.0000 0.3190 0.0000 x8  7 Zn 2.66-2.80, 4 Li 2.90
Zn 0.0000 0.0000 0.0000 x2  4 Li 2.66, 8 Zn 2.76
Zn 0.1648 0.1648 0.5000 x8  6 Li 2.71-2.80, 6 Zn 2.75-2.81

Calculated values
Raw total energy ... -30.9 eV/cell
Offset from the most stable computed form ... 47 meV per atom
Calculated formation energy ... -0.1588 eV/atom